1.
7
Lattice="-0.489 2.543 2.493 -0.804 -2.525 2.418 17.929 -2.438 3.414" Properties=species:S:1:pos:R:3 comment="LaPm2Th4, optimized geometry, DFT GGA-PBE" space_group=Cmmm delta_e_f_mev_per_atom=78 magnetic_moment_mub_per_fu=0.0 dos_ef_per_ev_cell=11.83 e_tot_ev_per_cell=-43.6 pbc="T T T"
Pm 6.907 -1.744 3.135
Pm 9.729 -0.675 5.190
Th 12.776 -0.843 3.367
Th 14.465 -0.988 6.438
Th 4.663 0.948 2.540
Th 2.170 -1.432 1.887
La -0.245 1.271 1.246

---

2.
4
Lattice="-4.467 -2.334 -0.942 2.517 -4.161 -1.625 0.950 1.373 6.046" Properties=species:S:1:pos:R:3 comment="Tb2PmPr, optimized geometry, DFT GGA-PBE" space_group=I-4m2 delta_e_f_mev_per_atom=17 magnetic_moment_mub_per_fu=0.0 dos_ef_per_ev_cell=5.77 e_tot_ev_per_cell=-18.7 pbc="T T T"
Tb -0.975 -3.247 -1.283
Tb -2.246 -2.104 1.910
Pm 1.246 -3.018 1.569
Pr 0.000 0.000 0.000

---

3.
10
Lattice="6.184 -0.313 0.838 -0.971 7.710 -5.531 1.820 -2.593 9.002" Properties=species:S:1:pos:R:3 comment="NdSm7Tm2, optimized geometry, DFT GGA-PBE" space_group=P-1 delta_e_f_mev_per_atom=19 magnetic_moment_mub_per_fu=0.0 dos_ef_per_ev_cell=15.01 e_tot_ev_per_cell=-46.6 pbc="T T T"
Sm 2.607 3.699 -2.347
Sm 1.860 7.049 -3.373
Sm 5.462 3.071 -0.219
Sm 5.173 -2.244 7.682
Sm 1.571 1.733 4.528
Sm 2.109 2.738 1.083
Sm 4.924 2.066 3.226
Tm 2.334 -1.608 5.552
Tm 4.699 6.412 -1.243
Nd 0.000 0.000 0.000

---

4.
5
Lattice="-0.466 5.316 -0.317 -0.948 -0.396 -5.246 -5.240 -0.401 0.977" Properties=species:S:1:pos:R:3 comment="VSnPb3, optimized geometry, DFT GGA-PBE" space_group=Pm-3m delta_e_f_mev_per_atom=447 magnetic_moment_mub_per_fu=1.5 dos_ef_per_ev_cell=5.38 e_tot_ev_per_cell=-22.0 pbc="T T T"
Pb -2.620 -0.201 0.489
Pb -0.233 2.658 -0.158
Pb -0.474 -0.198 -2.623
Sn -3.327 2.259 -2.293
V 0.000 0.000 0.000

---

5.
15
Lattice="-4.401 2.453 3.077 2.690 -4.842 2.043 7.603 6.596 5.618" Properties=species:S:1:pos:R:3 comment="Ac3Zn2SbPd9, optimized geometry, DFT GGA-PBE" space_group=P-3m1 magnetic_moment_mub_per_fu=0.0 dos_ef_per_ev_cell=6.06 e_tot_ev_per_cell=-74.5 e_form_raw_kj_per_mol_atoms=-56.5 pbc="T T T"
Pd 1.851 -0.216 5.580
Pd 1.897 5.619 6.659
Pd 3.208 3.259 7.655
Pd 1.345 -2.421 1.022
Pd 2.684 0.948 3.084
Pd 4.042 4.423 5.159
Pd 3.996 -1.412 4.080
Pd -2.201 1.226 1.539
Pd -0.855 -1.195 2.560
Ac -0.039 1.755 4.209
Ac 5.932 2.452 6.530
Ac 0.000 0.000 0.000
Zn 4.320 5.537 7.430
Zn 1.572 -1.330 3.308
Sb 3.802 3.298 2.809

---

6.
8
Lattice="-0.649 -5.562 -2.225 2.673 -1.500 -5.188 7.977 -5.019 2.062" Properties=species:S:1:pos:R:3 comment="BaDyHg6, optimized geometry, DFT GGA-PBE" space_group=R-3m delta_e_f_mev_per_atom=-154 magnetic_moment_mub_per_fu=0.0 dos_ef_per_ev_cell=4.92 e_tot_ev_per_cell=-9.6 pbc="T T T"
Hg 5.922 -9.267 -3.037
Hg 4.080 -2.814 -2.314
Hg 7.243 -10.009 -5.603
Hg 2.437 -4.823 -0.849
Hg 7.564 -7.259 -4.502
Hg 2.758 -2.072 0.251
Ba 0.000 0.000 0.000
Dy 5.001 -6.041 -2.676